OsRhW2: relaxed, PBE.

Output
Energy above the most stable polymorph in this dataset (meV per atom): 12
Total magnetization (μB per cell): 0.000
V (Å³/cell): 121.2
Space-group type: C2/m, No. 12
Density of states at the Fermi level (states/eV/cell): 6.60

a b c (Å): 5.5678 7.7958 2.7918
angles (deg): 90.00 90.15 90.00
Fractional coordinates of all 8 atoms:
Os1 0.0000 0.0000 0.0000
Os2 0.5000 0.5000 0.0000
Rh1 0.0000 0.5000 0.0000
Rh2 0.5000 0.0000 0.0000
W1 0.2500 0.2500 0.5000
W2 0.2500 0.7500 0.5000
W3 0.7500 0.2500 0.5000
W4 0.7500 0.7500 0.5000